VASP calculation (GGA-PBE) on an optimized crystal structure of La2SiOs.

a = 3.2159 Å, b = 3.2159 Å, c = 9.1513 Å
α = 90.00°, β = 90.00°, γ = 90.00°
Fractional coordinates of all 4 atoms:
La (0.0000, 0.0000, 0.9285)
La (0.5000, 0.5000, 0.3255)
Os (0.0000, 0.0000, 0.5641)
Si (0.5000, 0.5000, 0.6820)

Results
Total magnetization ... 0.0 μB per formula unit
Space group ... No. 99
Total energy ... -27.228 eV per cell


VASP calculation (GGA-PBE) on an optimized crystal structure of Dy2HoZr.

a = 4.8471 Å, b = 4.8579 Å, c = 4.8579 Å
α = 90.00°, β = 90.00°, γ = 90.00°
Fractional coordinates of all 4 atoms:
Ho (0.5000, 0.5000, 0.5000)
Zr (0.5000, 0.0000, 0.0000)
Dy (0.0000, 0.0000, 0.5000)
Dy (0.0000, 0.5000, 0.0000)

Results
ΔE_f ... 90.2 meV/atom
Total magnetization ... 0.0 μB per formula unit
Space group ... No. 123
Total energy ... -21.969 eV per cell


- What is the formula in the first record?
  La2SiOs